Entry 1:
The following is a PBEsol calculation of Mg3InH after structural relaxation, from the Alexandria database.

Electronic total energy in eV/atom: -2.352
DOS(E_F) in states/eV per atom: 0.390
Crystal system: cubic
Total magnetic moment in μB/atom: 0.000

Cell lengths 4.442, 4.442, 4.442 Å; angles 90.00, 90.00, 90.00 degrees
Positions (direct):
Mg 0.000 0.000 0.500
Mg 0.000 0.500 0.000
Mg 0.500 0.000 0.000
In 0.500 0.500 0.500
H 0.000 0.000 0.000

=====

Entry 2:
The following is a PBEsol calculation of Mg2InH2 after structural relaxation, from the Alexandria database.

Electronic total energy in eV/atom: -2.721
DOS(E_F) in states/eV per atom: 0.189
Crystal system: tetragonal
Total magnetic moment in μB/atom: 0.000

Cell lengths 6.993, 6.993, 6.993 Å; angles 153.04, 153.04, 38.49 degrees
Positions (direct):
Mg 0.162 0.162 0.000
Mg 0.838 0.838 0.000
In 0.500 0.500 0.000
H 0.250 0.750 0.500
H 0.750 0.250 0.500